No. 1
{"formula": "Cs2Tl3Te2Br2", "functional": "PBE", "state": "relaxed", "lattice_angstrom": [[-3.0782, 3.0782, 10.1243], [3.0782, -3.0782, 10.1243], [3.0782, 3.0782, -10.1243]], "species": ["Cs", "Cs", "Tl", "Tl", "Tl", "Te", "Te", "Br", "Br"], "frac_coords": [[0.1035, 0.1035, 0.0000], [0.8965, 0.8965, 0.0000], [0.2500, 0.7500, 0.5000], [0.5000, 0.5000, 0.0000], [0.7500, 0.2500, 0.5000], [0.3083, 0.3083, 0.0000], [0.6917, 0.6917, 0.0000], [0.0000, 0.5000, 0.5000], [0.5000, 0.0000, 0.5000]], "formation_energy_uncorrected_ev_per_fu": -7.44, "final_energy_ev_per_atom": -2.875}

=====

No. 2
{"formula": "CePr6Hg2", "functional": "PBE", "state": "relaxed", "lattice_angstrom": [[6.5254, -1.9136, 0.0000], [6.5254, 1.9136, 0.0000], [-3.6960, 0.0000, 11.7790]], "species": ["Ce", "Pr", "Pr", "Pr", "Pr", "Pr", "Pr", "Hg", "Hg"], "frac_coords": [[0.0000, 0.0000, 0.0000], [0.0269, 0.0269, 0.3371], [0.3131, 0.3131, 0.4099], [0.3224, 0.3224, 0.1223], [0.6776, 0.6776, 0.8777], [0.6869, 0.6869, 0.5901], [0.9731, 0.9731, 0.6629], [0.3523, 0.3523, 0.8038], [0.6477, 0.6477, 0.1962]], "formation_energy_ev_per_atom": -0.167, "final_energy_ev_per_atom": -4.080}

=====

No. 3
{"formula": "Sm3Cd11", "functional": "PBE", "state": "relaxed", "lattice_angstrom": [[-2.4562, 4.9742, 6.9977], [2.4562, -4.9742, 6.9977], [2.4562, 4.9742, -6.9977]], "species": ["Sm", "Sm", "Sm", "Cd", "Cd", "Cd", "Cd", "Cd", "Cd", "Cd", "Cd", "Cd", "Cd", "Cd"], "frac_coords": [[0.0000, 0.0000, 0.0000], [0.2875, 0.2875, 0.0000], [0.7125, 0.7125, 0.0000], [0.0139, 0.6516, 0.3623], [0.1398, 0.8565, 0.2833], [0.2893, 0.6516, 0.6377], [0.3329, 0.5000, 0.8329], [0.4269, 0.1435, 0.2833], [0.5000, 0.0000, 0.5000], [0.5731, 0.8565, 0.7167], [0.6671, 0.5000, 0.1671], [0.7107, 0.3484, 0.3623], [0.8602, 0.1435, 0.7167], [0.9861, 0.3484, 0.6377]], "formation_energy_ev_per_atom": -0.243, "final_energy_ev_per_atom": -1.973}

=====

No. 4
{"formula": "PmSm4DyS8", "functional": "PBE", "state": "relaxed", "lattice_angstrom": [[4.1069, 2.3711, 6.7122], [-4.1069, 2.3711, 6.7122], [0.0000, -4.7422, 6.7122]], "species": ["Pm", "Sm", "Sm", "Sm", "Sm", "Dy", "S", "S", "S", "S", "S", "S", "S", "S"], "frac_coords": [[0.0000, 0.0000, 0.0000], [0.0001, 0.0001, 0.5031], [0.0001, 0.5031, 0.0001], [0.3758, 0.3758, 0.3758], [0.5031, 0.0001, 0.0001], [0.6260, 0.6260, 0.6260], [0.2361, 0.7549, 0.7549], [0.2428, 0.2428, 0.2428], [0.2438, 0.2438, 0.7741], [0.2438, 0.7741, 0.2438], [0.7549, 0.2361, 0.7549], [0.7549, 0.7549, 0.2361], [0.7561, 0.7561, 0.7561], [0.7741, 0.2438, 0.2438]], "formation_energy_uncorrected_ev_per_fu": -26.88, "final_energy_ev_per_atom": -6.295}

=====

Repeat the third record exactly.
{"formula": "Sm3Cd11", "functional": "PBE", "state": "relaxed", "lattice_angstrom": [[-2.4562, 4.9742, 6.9977], [2.4562, -4.9742, 6.9977], [2.4562, 4.9742, -6.9977]], "species": ["Sm", "Sm", "Sm", "Cd", "Cd", "Cd", "Cd", "Cd", "Cd", "Cd", "Cd", "Cd", "Cd", "Cd"], "frac_coords": [[0.0000, 0.0000, 0.0000], [0.2875, 0.2875, 0.0000], [0.7125, 0.7125, 0.0000], [0.0139, 0.6516, 0.3623], [0.1398, 0.8565, 0.2833], [0.2893, 0.6516, 0.6377], [0.3329, 0.5000, 0.8329], [0.4269, 0.1435, 0.2833], [0.5000, 0.0000, 0.5000], [0.5731, 0.8565, 0.7167], [0.6671, 0.5000, 0.1671], [0.7107, 0.3484, 0.3623], [0.8602, 0.1435, 0.7167], [0.9861, 0.3484, 0.6377]], "formation_energy_ev_per_atom": -0.243, "final_energy_ev_per_atom": -1.973}